First-principles (PBE) data for a relaxed La8Pr2Hg crystal, as listed in the Alexandria database.

E above lowest polymorph in meV/atom: 0
DFT total energy in eV/atom: -4.538
ΔE_f in meV per atom: -58

Geometry as POSCAR:
```
La8Pr2Hg
1.0
10.048 -2.939 0.000
10.048 2.939 0.000
-0.478 0.000 6.645
La Pr Hg
8 2 1
direct
0.038 0.038 0.255 La
0.154 0.154 0.793 La
0.340 0.340 0.879 La
0.419 0.419 0.397 La
0.581 0.581 0.603 La
0.660 0.660 0.121 La
0.846 0.846 0.207 La
0.962 0.962 0.745 La
0.235 0.235 0.330 Pr
0.765 0.765 0.670 Pr
0.500 0.500 0.000 Hg
```